No. 1
Below is a relaxed structure of CoTe2Br, with properties calculated at the GGA-PBE level.

Structure (POSCAR):
```
CoTe2Br
1.0
3.1424 0.0000 0.0000
0.0000 3.1424 0.0000
0.0000 0.0000 10.8868
Br Co Te
1 1 2
Cartesian
0.0000 0.0000 6.6086
1.5712 1.5712 8.3916
0.0000 0.0000 9.7870
1.5712 1.5712 2.4298
```

Summary:
- N(E_F) (states/eV per atom) = 0.375
- energy above the most stable polymorph in this dataset (meV/atom) = 418.4
- electronic total energy (eV/atom) = -3.539
- energy relative to the elements, uncorrected (eV/atom) = 0.226

=====

No. 2
Below is a relaxed structure of CoTe2Br, with properties calculated at the GGA-PBE level.

Structure (POSCAR):
```
CoTe2Br
1.0
3.0897 -1.7839 0.0000
0.0000 3.5677 0.0000
0.0000 0.0000 9.3974
Te Co Br
2 1 1
Cartesian
1.0299 1.7839 6.5087
2.0598 0.0000 2.7300
1.0299 1.7839 4.0474
0.0000 0.0000 0.3871
```

Summary:
- N(E_F) (states/eV per atom) = 0.620
- energy above the most stable polymorph in this dataset (meV/atom) = 353.5
- electronic total energy (eV/atom) = -3.604
- energy relative to the elements, uncorrected (eV/atom) = 0.161

=====

No. 3
Below is a relaxed structure of CoTe2Br, with properties calculated at the GGA-PBE level.

Structure (POSCAR):
```
CoTe2Br
1.0
-2.1485 -1.2913 -5.0797
-4.7237 -1.9016 2.4814
-5.8966 4.0127 -1.6844
Te Co Br
4 2 2
Cartesian
-8.3273 0.1242 -2.8261
-8.0335 2.5492 -0.4085
-4.4415 0.6955 -1.4565
-6.0228 -2.0347 -0.0937
-3.4361 -1.5965 -1.2991
-7.0282 0.2573 -0.2511
0.0000 0.0000 0.0000
-5.7406 0.5624 -4.0316
```

Summary:
- N(E_F) (states/eV per atom) = 0.852
- energy above the most stable polymorph in this dataset (meV/atom) = 320.6
- electronic total energy (eV/atom) = -3.637
- energy relative to the elements, uncorrected (eV/atom) = 0.128

=====

No. 4
Below is a relaxed structure of CoTe2Br, with properties calculated at the GGA-PBE level.

Structure (POSCAR):
```
CoTe2Br
1.0
-2.5444 -0.1802 -2.8615
-1.2814 -3.4028 -1.2140
-7.0176 -0.8458 3.7256
Co Te Br
1 2 1
Cartesian
-9.5383 -3.2362 0.9822
-6.0265 -0.9059 2.8481
-2.1841 -1.1392 -0.5539
-5.5338 -2.2076 -0.0757
```

Summary:
- N(E_F) (states/eV per atom) = 0.887
- energy above the most stable polymorph in this dataset (meV/atom) = 32.6
- electronic total energy (eV/atom) = -3.925
- energy relative to the elements, uncorrected (eV/atom) = -0.160

=====

Question: The highest N(E_F) belongs to which entry?
Answer: number 4